First-principles (PBE-GGA) data for a geometry-optimized Ca2TbNbN4 structure, as listed in Alexandria via LeMat-Bulk.

The value obtained for the formation energy without anion corrections is -1220 meV/atom. Its symmetry is No. 10. As for the crystal system: monoclinic.

Lattice parameters (Å, degrees): 3.3450 5.8460 5.9382 108.97 90.00 90.00
Last column: nearest neighbours and their distance in Å.
Fractional coordinates of all 8 atoms:
Nb 0.0000 0.0000 0.0000  6 N 2.14-2.25
Ca 0.5000 0.0000 0.5000  6 N 2.43-2.44
Tb 0.5000 0.5000 0.0000  6 N 2.37-2.38
N 0.5000 0.2212 0.2169  2 Nb 2.25, 1 Tb 2.38, 1 Ca 2.43
N 0.5000 0.7788 0.7831  2 Nb 2.25, 1 Tb 2.38, 1 Ca 2.43
N 0.0000 0.2307 0.7837  1 Nb 2.14, 2 Tb 2.37
N 0.0000 0.7693 0.2163  1 Nb 2.14, 2 Tb 2.37
Ca 0.0000 0.5000 0.5000  6 N 2.55-2.65

First-principles (PBE-GGA) data for a geometry-optimized CaTb2NbN4 structure, as listed in Alexandria via LeMat-Bulk.

The value obtained for the formation energy without anion corrections is -1197 meV/atom. Its symmetry is No. 63. As for the crystal system: orthorhombic.

Lattice parameters (Å, degrees): 3.4339 6.2288 12.2602 90.00 90.00 106.00
Last column: nearest neighbours and their distance in Å.
Fractional coordinates of all 16 atoms:
Tb 0.6295 0.2589 0.4675  5 N 2.34-2.56
N 0.7423 0.4847 0.6228  1 Nb 1.95
Tb 0.3705 0.7411 0.5325  5 N 2.34-2.56
Ca 0.8934 0.7868 0.2500  6 N 2.66-2.83
N 0.2577 0.5153 0.3772  1 Nb 1.95
Tb 0.6295 0.2589 0.0325  5 N 2.34-2.56
N 0.5626 0.1252 0.2500  2 Nb 2.07
N 0.4374 0.8748 0.7500  2 Nb 2.07
Nb 0.1593 0.3185 0.2500  4 N 1.95-2.07
Ca 0.1066 0.2132 0.7500  6 N 2.66-2.83
N 0.2577 0.5153 0.1228  1 Nb 1.95
N 0.0000 0.0000 0.5000  4 Tb 2.35
Nb 0.8407 0.6815 0.7500  4 N 1.95-2.07
Tb 0.3705 0.7411 0.9675  5 N 2.34-2.56
N 0.7423 0.4847 0.8772  1 Nb 1.95
N 0.0000 0.0000 0.0000  4 Tb 2.35

First-principles (PBE-GGA) data for a geometry-optimized Ca3Nb3TcN8 structure, as listed in Alexandria via LeMat-Bulk.

The value obtained for the formation energy without anion corrections is -853 meV/atom. Its symmetry is No. 166. As for the crystal system: trigonal.

Lattice parameters (Å, degrees): 6.2783 6.2786 6.6868 118.01 90.00 120.00
Last column: nearest neighbours and their distance in Å.
Fractional coordinates of all 15 atoms:
Nb 0.5000 0.0000 0.5000  6 N 2.14-2.19
N 0.7395 0.4791 0.7185  3 Nb 2.19, 3 Ca 2.40-2.41
Ca 0.0000 0.5000 0.0000  6 N 2.41-2.46
N 0.7648 0.0308 0.2957  2 Nb 2.14, 1 Tc 2.15
N 0.7338 0.9690 0.7041  2 Nb 2.14, 1 Tc 2.15
Ca 0.5000 0.5000 0.0000  6 N 2.41-2.46
N 0.2662 0.0310 0.2959  2 Nb 2.14, 1 Tc 2.15
N 0.2352 0.4705 0.7041  2 Nb 2.14, 1 Tc 2.15
Tc 0.0000 0.0000 0.5000  6 N 2.15
Nb 0.5000 0.5000 0.5000  6 N 2.14-2.19
N 0.7648 0.5295 0.2959  2 Nb 2.14, 1 Tc 2.15
N 0.2605 0.5209 0.2815  3 Nb 2.19, 3 Ca 2.40-2.41
Nb 0.0000 0.5000 0.5000  6 N 2.14-2.19
N 0.2352 0.9692 0.7043  2 Nb 2.14, 1 Tc 2.15
Ca 0.0000 0.0000 0.0000  6 N 2.40-2.46

First-principles (PBE-GGA) data for a geometry-optimized CaNbTe2N structure, as listed in Alexandria via LeMat-Bulk.

The value obtained for the formation energy without anion corrections is -515 meV/atom. Its symmetry is No. 123. Its relative energy among the computed polymorphs is 0 meV per atom. As for the crystal system: tetragonal.

Lattice parameters (Å, degrees): 5.6500 5.6500 3.9667 90.00 90.00 90.00
Last column: nearest neighbours and their distance in Å.
Fractional coordinates of all 5 atoms:
Ca 0.5000 0.5000 0.5000  8 Te 3.45
Te 0.0000 0.5000 0.0000  2 Nb 2.83
Te 0.5000 0.0000 0.0000  2 Nb 2.83
N 0.0000 0.0000 0.5000  2 Nb 1.98
Nb 0.0000 0.0000 0.0000  2 N 1.98